# PBE-GGA CrCo6Mo, optimized geometry
# Polymorph energy (0 for the lowest one) = 0.0 meV per atom
# Formation energy from the elements = 2 kJ per mole of atoms
# E = -0.578 Ry/atom
# V = 89.8 Å³/f.u.
data_CrCo6Mo
_chemical_formula_sum 'Cr4 Co24 Mo4'
_symmetry_space_group_name_H-M 'P 1'
_symmetry_Int_Tables_number 1
_cell_length_a 6.159
_cell_length_b 6.159
_cell_length_c 10.045
_cell_angle_alpha 90.00
_cell_angle_beta 90.00
_cell_angle_gamma 109.42
loop_
_symmetry_equiv_pos_as_xyz
'x,y,z'
loop_
_atom_site_label
_atom_site_fract_x
_atom_site_fract_y
_atom_site_fract_z
_atom_site_occupancy
Co1 0.000 0.000 0.250 1
Co2 0.753 0.247 0.496 1
Co3 0.373 0.120 0.373 1
Co4 0.120 0.373 0.373 1
Co5 0.627 0.880 0.373 1
Co6 0.370 0.123 0.877 1
Co7 0.247 0.753 0.004 1
Co8 0.880 0.627 0.127 1
Co9 0.627 0.880 0.127 1
Co10 0.500 0.500 0.750 1
Co11 0.120 0.373 0.127 1
Co12 0.000 0.000 0.750 1
Co13 0.123 0.370 0.877 1
Co14 0.753 0.247 0.004 1
Co15 0.123 0.370 0.623 1
Co16 0.877 0.630 0.877 1
Co17 0.247 0.753 0.496 1
Co18 0.630 0.877 0.877 1
Co19 0.877 0.630 0.623 1
Co20 0.630 0.877 0.623 1
Co21 0.500 0.500 0.250 1
Co22 0.370 0.123 0.623 1
Co23 0.880 0.627 0.373 1
Co24 0.373 0.120 0.127 1
Mo1 0.253 0.747 0.750 1
Mo2 0.500 0.500 0.499 1
Mo3 0.500 0.500 0.001 1
Mo4 0.747 0.253 0.750 1
Cr1 0.747 0.253 0.250 1
Cr2 0.000 0.000 0.497 1
Cr3 0.253 0.747 0.250 1
Cr4 0.000 0.000 0.003 1